Below is a relaxed structure of SmScPd, with properties calculated at the PBE level.

a b c (Å): 4.8017 4.8017 4.8017
angles (deg): 60.00 60.00 60.00
Closest atoms and distances in Å follow each position.
Fractional coordinates of all 3 atoms:
Sm (0.0000, 0.0000, 0.0000)  4 Pd 2.94
Pd (0.2500, 0.2500, 0.2500)  4 Sc 2.94, 4 Sm 2.94
Sc (0.5000, 0.5000, 0.5000)  4 Pd 2.94

Results
ρ = 6.4 Mg/m³
E = -17.4 eV for the cell shown
distance to the lowest polymorph of the same formula = 184 meV/atom
energy relative to the elements = -400 meV/atom


Below is a relaxed structure of CaCeUO6, with properties calculated at the PBE level.

a b c (Å): 5.7698 5.7698 9.4789
angles (deg): 90.00 90.00 120.00
Closest atoms and distances in Å follow each position.
Fractional coordinates of all 18 atoms:
U (0.3333, 0.6667, 0.7500)  6 O 2.10
U (0.6667, 0.3333, 0.2500)  6 O 2.10
O (0.6471, 0.9646, 0.8689)  1 U 2.10, 1 Ce 2.31
O (0.9646, 0.3175, 0.1311)  1 U 2.10, 1 Ce 2.31
O (0.3175, 0.3529, 0.8689)  1 U 2.10, 1 Ce 2.31
O (0.3175, 0.9646, 0.6311)  1 U 2.10, 1 Ce 2.31
O (0.3529, 0.3175, 0.3689)  1 U 2.10, 1 Ce 2.31
O (0.0354, 0.3529, 0.6311)  1 U 2.10, 1 Ce 2.31
O (0.6825, 0.6471, 0.1311)  1 U 2.10, 1 Ce 2.31
O (0.6471, 0.6825, 0.6311)  1 U 2.10, 1 Ce 2.31
O (0.6825, 0.0354, 0.3689)  1 U 2.10, 1 Ce 2.31
O (0.3529, 0.0354, 0.1311)  1 U 2.10, 1 Ce 2.31
O (0.9646, 0.6471, 0.3689)  1 U 2.10, 1 Ce 2.31
O (0.0354, 0.6825, 0.8689)  1 U 2.10, 1 Ce 2.31
Ce (0.0000, 0.0000, 0.5000)  6 O 2.31
Ce (0.0000, 0.0000, 0.0000)  6 O 2.31
Ca (0.3333, 0.6667, 0.2500)  6 O 2.36
Ca (0.6667, 0.3333, 0.7500)  6 O 2.36

Results
ρ = 6.2 Mg/m³
E = -155.0 eV for the cell shown


Below is a relaxed structure of ScTaN2, with properties calculated at the PBE level.

a b c (Å): 3.8888 3.8888 3.8888
angles (deg): 60.00 60.00 60.00
Closest atoms and distances in Å follow each position.
Fractional coordinates of all 4 atoms:
N (0.2500, 0.2500, 0.2500)  4 Ta 2.38, 4 Sc 2.38
N (0.7500, 0.7500, 0.7500)  4 Ta 2.38, 4 Sc 2.38
Sc (0.0000, 0.0000, 0.0000)  8 N 2.38
Ta (0.5000, 0.5000, 0.5000)  8 N 2.38

Results
ρ = 10.1 Mg/m³
E = -37.1 eV for the cell shown
distance to the lowest polymorph of the same formula = 1089 meV/atom


Below is a relaxed structure of Si2BiSe6, with properties calculated at the PBE level.

a b c (Å): 6.5231 8.8434 8.8434
angles (deg): 86.97 82.27 82.27
Closest atoms and distances in Å follow each position.
Fractional coordinates of all 18 atoms:
Se (0.3236, 0.0316, 0.2021)  1 Si 2.31
Se (0.6764, 0.9684, 0.7979)  1 Si 2.31
Se (0.0929, 0.1368, 0.5814)  1 Si 2.29
Se (0.9071, 0.8632, 0.4186)  1 Si 2.29
Se (0.3946, 0.7220, 0.5551)  2 Si 2.32-2.34
Se (0.4071, 0.4186, 0.8632)  1 Si 2.29
Se (0.5929, 0.5814, 0.1368)  1 Si 2.29
Se (0.8946, 0.5551, 0.7220)  2 Si 2.32-2.34
Se (0.1054, 0.4449, 0.2780)  2 Si 2.32-2.34
Se (0.8236, 0.2021, 0.0316)  1 Si 2.31
Se (0.6054, 0.2780, 0.4449)  2 Si 2.32-2.34
Se (0.1764, 0.7979, 0.9684)  1 Si 2.31
Si (0.7951, 0.3719, 0.2248)  4 Se 2.29-2.34
Si (0.2951, 0.2248, 0.3719)  4 Se 2.29-2.34
Si (0.7049, 0.7752, 0.6281)  4 Se 2.29-2.34
Si (0.2049, 0.6281, 0.7752)  4 Se 2.29-2.34
Bi (0.2500, 0.1252, 0.8748)  6 Se 2.91-3.05
Bi (0.7500, 0.8748, 0.1252)  6 Se 2.91-3.05

Results
ρ = 4.9 Mg/m³
E = -76.1 eV for the cell shown


Below is a relaxed structure of YBeP2, with properties calculated at the PBE level.

a b c (Å): 4.2225 4.2275 3.7012
angles (deg): 90.00 90.00 90.00
Closest atoms and distances in Å follow each position.
Fractional coordinates of all 4 atoms:
Y (0.5000, 0.0000, 0.5000)  8 P 2.81, 4 Be 2.99
P (0.0000, 0.0000, 0.0000)  4 Y 2.81, 4 Be 2.81, 4 P 2.99
P (0.5000, 0.5000, 0.0000)  4 Be 2.81, 4 Y 2.81, 4 P 2.99
Be (0.0000, 0.5000, 0.5000)  8 P 2.81, 4 Y 2.99

Results
ρ = 4.0 Mg/m³
E = -22.2 eV for the cell shown
energy relative to the elements = -295 meV/atom


Below is a relaxed structure of Ho2AgHg6, with properties calculated at the PBE level.

a b c (Å): 6.0675 8.5322 8.3464
angles (deg): 120.74 134.82 90.00
Closest atoms and distances in Å follow each position.
Fractional coordinates of all 9 atoms:
Ho (0.6790, 0.6777, 0.3555)  1 Ag 3.22, 12 Hg 3.23-3.42, 1 Ho 3.54
Ho (0.3210, 0.3223, 0.6445)  1 Ag 3.22, 12 Hg 3.23-3.42, 1 Ho 3.54
Ag (0.0000, 0.0000, 0.0000)  2 Ho 3.22, 12 Hg 3.28-3.35
Hg (0.8344, 0.5026, 0.6708)  3 Hg 2.85-2.87
Hg (0.1656, 0.4974, 0.3292)  3 Hg 2.85-2.87
Hg (0.5000, 0.8321, 0.0000)  3 Hg 2.87
Hg (0.8344, 0.1683, 0.6708)  3 Hg 2.85-2.87
Hg (0.5000, 0.1679, 0.0000)  3 Hg 2.87
Hg (0.1656, 0.8317, 0.3292)  3 Hg 2.85-2.87

Results
ρ = 12.8 Mg/m³
E = -15.6 eV for the cell shown
distance to the lowest polymorph of the same formula = 57 meV/atom
energy relative to the elements = -199 meV/atom


Below is a relaxed structure of GeS2I, with properties calculated at the PBE level.

a b c (Å): 7.1449 7.1449 6.5816
angles (deg): 57.13 57.13 90.00
Closest atoms and distances in Å follow each position.
Fractional coordinates of all 8 atoms:
I (0.0000, 0.0000, 0.0000)  4 S 3.25
I (0.7500, 0.2500, 0.5000)  4 S 3.25
S (0.5255, 0.1250, 0.2500)  2 Ge 2.34
S (0.3750, 0.4745, 0.7500)  2 Ge 2.34
S (0.2245, 0.6250, 0.2500)  2 Ge 2.34
S (0.8750, 0.7755, 0.7500)  2 Ge 2.34
Ge (0.5000, 0.5000, 0.0000)  4 S 2.34
Ge (0.2500, 0.7500, 0.5000)  4 S 2.34

Results
ρ = 4.1 Mg/m³
E = -27.1 eV for the cell shown
distance to the lowest polymorph of the same formula = 429 meV/atom


Below is a relaxed structure of TaZn4As, with properties calculated at the PBE level.

a b c (Å): 5.1179 5.1179 5.1179
angles (deg): 60.00 60.00 60.00
Closest atoms and distances in Å follow each position.
Fractional coordinates of all 6 atoms:
Zn (0.8780, 0.3740, 0.3740)  6 Zn 2.54-2.58
Zn (0.3740, 0.8780, 0.3740)  6 Zn 2.54-2.58
Zn (0.3740, 0.3740, 0.3740)  6 Zn 2.54-2.58
Zn (0.3740, 0.3740, 0.8780)  6 Zn 2.54-2.58
As (0.7500, 0.7500, 0.7500)  12 Zn 3.00, 4 Ta 3.13
Ta (0.0000, 0.0000, 0.0000)  12 Zn 3.00, 4 As 3.13

Results
ρ = 9.1 Mg/m³
E = -20.0 eV for the cell shown
energy relative to the elements = 270 meV/atom